## Li2CoW (PBE)

Data for a relaxed structure of Li2CoW.

## Properties
The crystal system is cubic. The energy above the most stable polymorph in this dataset is 650 meV per atom. For the total moment, the calculation gives 0.49 μB/f.u. Its space-group type is No. 225. As for the formation energy: 357 kJ/mol of formula units.

Lattice parameters (Å, degrees): 4.0672 4.0672 4.0672 60.00 60.00 60.00
Last column: nearest neighbours and their distance in Å.
Sites, in units of the cell vectors:
Li1 0.7500 0.7500 0.7500  4 W 2.49, 4 Co 2.49
W1 0.5000 0.5000 0.5000  8 Li 2.49
Li2 0.2500 0.2500 0.2500  4 W 2.49, 4 Co 2.49
Co1 0.0000 0.0000 0.0000  8 Li 2.49

***

## Ti12Al6Pt (PBE)

Data for a relaxed structure of Ti12Al6Pt.

## Properties
The crystal system is trigonal. For the total moment, the calculation gives 0.01 μB/f.u. Its space-group type is No. 148. As for the formation energy: -562 kJ/mol of formula units.

Lattice parameters (Å, degrees): 6.8042 6.8042 6.8042 89.45 89.45 89.45
Last column: nearest neighbours and their distance in Å.
Sites, in units of the cell vectors:
Al1 0.2645 0.1161 0.7424  1 Pt 2.62, 8 Ti 2.74-2.92, 2 Al 2.75
Ti1 0.0551 0.1501 0.3833  4 Ti 2.68-2.80, 5 Al 2.76-2.98, 1 Pt 2.84
Ti2 0.1972 0.4786 0.5611  5 Ti 2.74-3.07, 4 Al 2.74-2.86
Al2 0.8839 0.2576 0.7355  1 Pt 2.62, 8 Ti 2.74-2.92, 2 Al 2.75
Al3 0.7355 0.8839 0.2576  1 Pt 2.62, 8 Ti 2.74-2.92, 2 Al 2.75
Al4 0.1161 0.7424 0.2645  1 Pt 2.62, 8 Ti 2.74-2.92, 2 Al 2.75
Ti3 0.1501 0.3833 0.0551  4 Ti 2.68-2.80, 5 Al 2.76-2.98, 1 Pt 2.84
Ti4 0.3833 0.0551 0.1501  4 Ti 2.68-2.80, 5 Al 2.76-2.98, 1 Pt 2.84
Ti5 0.9449 0.8499 0.6167  4 Ti 2.68-2.80, 5 Al 2.76-2.98, 1 Pt 2.84
Al5 0.2576 0.7355 0.8839  1 Pt 2.62, 8 Ti 2.74-2.92, 2 Al 2.75
Ti6 0.5214 0.4389 0.8028  5 Ti 2.74-3.07, 4 Al 2.74-2.86
Pt1 0.0000 0.0000 0.0000  6 Al 2.62, 6 Ti 2.84
Al6 0.7424 0.2645 0.1161  1 Pt 2.62, 8 Ti 2.74-2.92, 2 Al 2.75
Ti7 0.4786 0.5611 0.1972  5 Ti 2.74-3.07, 4 Al 2.74-2.86
Ti8 0.6167 0.9449 0.8499  4 Ti 2.68-2.80, 5 Al 2.76-2.98, 1 Pt 2.84
Ti9 0.5611 0.1972 0.4787  5 Ti 2.74-3.07, 4 Al 2.74-2.86
Ti10 0.8499 0.6167 0.9449  4 Ti 2.68-2.80, 5 Al 2.76-2.98, 1 Pt 2.84
Ti11 0.4389 0.8028 0.5214  5 Ti 2.74-3.07, 4 Al 2.74-2.86
Ti12 0.8028 0.5213 0.4389  5 Ti 2.74-3.07, 4 Al 2.74-2.86

***

## BaNp4N8 (PBE)

Data for a relaxed structure of BaNp4N8.

## Properties
The crystal system is monoclinic. For the total moment, the calculation gives 6.00 μB/f.u. Its space-group type is No. 12. For the uncorrected formation energy, the calculation gives -0.97 eV/atom.

Lattice parameters (Å, degrees): 3.6122 8.3848 6.9130 80.12 74.85 77.56
Last column: nearest neighbours and their distance in Å.
Sites, in units of the cell vectors:
N1 0.7533 0.3997 0.0938  3 Np 2.26-2.27
N2 0.8501 0.9890 0.3108  1 Np 2.04
N3 0.4864 0.3007 0.7264  3 Np 2.07-2.26
Ba1 0.5159 0.0016 0.9667  6 N 2.76-2.91
N4 0.2781 0.6037 0.8402  3 Np 2.26-2.27
Np1 0.8920 0.4632 0.7528  6 N 2.17-2.27
N5 0.1155 0.3414 0.4275  3 Np 2.17-2.19
Np2 0.1394 0.5402 0.1810  6 N 2.17-2.27
N6 0.5450 0.7026 0.2073  3 Np 2.07-2.26
N7 0.9158 0.6621 0.5063  3 Np 2.17-2.19
Np3 0.6735 0.1896 0.4634  4 N 2.04-2.19
N8 0.1814 0.0144 0.6229  1 Np 2.04
Np4 0.3580 0.8138 0.4702  4 N 2.04-2.19

***

## MoIrPb2 (PBE)

Data for a relaxed structure of MoIrPb2.

## Properties
The crystal system is tetragonal. The energy above the most stable polymorph in this dataset is 764 meV per atom. For the total moment, the calculation gives 2.62 μB/f.u. Its space-group type is No. 122. As for the formation energy: 379 kJ/mol of formula units.

Lattice parameters (Å, degrees): 7.7116 7.7116 6.2392 51.83 51.83 90.00
Last column: nearest neighbours and their distance in Å.
Sites, in units of the cell vectors:
Pb1 0.1037 0.6250 0.2500  2 Ir 2.72, 2 Mo 2.94
Ir1 0.7500 0.2500 0.5000  4 Pb 2.72, 2 Mo 3.03
Mo1 0.2500 0.7500 0.5000  4 Pb 2.94, 2 Ir 3.03
Mo2 0.5000 0.5000 0.0000  4 Pb 2.94, 2 Ir 3.03
Pb2 0.6463 0.1250 0.2500  2 Ir 2.72, 2 Mo 2.94
Ir2 0.0000 0.0000 0.0000  4 Pb 2.72, 2 Mo 3.03
Pb3 0.8750 0.8963 0.7500  2 Ir 2.72, 2 Mo 2.94
Pb4 0.3750 0.3537 0.7500  2 Ir 2.72, 2 Mo 2.94

***

## Tl2InIr (PBE)

Data for a relaxed structure of Tl2InIr.

## Properties
The crystal system is monoclinic. The energy above the most stable polymorph in this dataset is 148 meV per atom. For the total moment, the calculation gives 0.00 μB/f.u. Its space-group type is No. 10. As for the formation energy: 92 kJ/mol of formula units.

Lattice parameters (Å, degrees): 4.1723 6.2055 6.2178 49.41 90.00 90.00
Last column: nearest neighbours and their distance in Å.
Sites, in units of the cell vectors:
In1 0.5000 0.2500 0.2500  2 Ir 2.60
Tl1 0.0000 0.9098 0.9095  2 Ir 2.76
Tl2 0.0000 0.5902 0.5905  2 Ir 2.76
Ir1 0.5000 0.7500 0.7500  2 In 2.60, 4 Tl 2.76

***

## BC2 (PBE)

Data for a relaxed structure of BC2.

## Properties
The crystal system is trigonal. The energy above the most stable polymorph in this dataset is 64 meV per atom. For the total moment, the calculation gives 0.00 μB/f.u. Its space-group type is No. 164. As for the formation energy: 88 kJ/mol of formula units.

Lattice parameters (Å, degrees): 2.5544 2.5544 13.4243 90.00 90.00 120.00
Last column: nearest neighbours and their distance in Å.
Sites, in units of the cell vectors:
B1 0.0000 0.0000 0.4810  4 C 1.62-1.63
C1 0.3333 0.6667 0.0516  4 C 1.56-1.58
C2 0.0000 0.0000 0.3602  3 C 1.56, 1 B 1.62
B2 0.0000 0.0000 0.8940  4 C 1.62-1.63
C3 0.0000 0.0000 0.0148  3 C 1.56, 1 B 1.62
B3 0.6667 0.3333 0.7269  1 C 1.54
C4 0.6667 0.3333 0.2058  4 C 1.55-1.58
C5 0.3333 0.6667 0.5332  4 B 1.54-1.63
C6 0.6667 0.3333 0.8418  4 B 1.54-1.63
C7 0.3333 0.6667 0.1692  4 C 1.55-1.58
B4 0.3333 0.6667 0.6481  1 C 1.54
C8 0.6667 0.3333 0.3234  4 C 1.56-1.58

***

## Cs2SnHg7 (PBE)

Data for a relaxed structure of Cs2SnHg7.

## Properties
The crystal system is tetragonal. For the total moment, the calculation gives 0.00 μB/f.u. Its space-group type is No. 115. As for the formation energy: -179 kJ/mol of formula units.

Lattice parameters (Å, degrees): 5.3633 5.3633 12.2291 90.00 90.00 90.00
Last column: nearest neighbours and their distance in Å.
Sites, in units of the cell vectors:
Hg1 0.0000 0.0000 0.5000  4 Hg 3.16
Cs1 0.5000 0.0000 0.7488  15 Hg 4.03-4.47, 2 Sn 4.08
Hg2 0.0000 0.5000 0.8854  3 Hg 3.03-3.04, 2 Sn 3.03
Hg3 0.5000 0.0000 0.1146  3 Hg 3.03-3.04, 2 Sn 3.03
Hg4 0.5000 0.0000 0.3633  5 Hg 3.04-3.16
Hg5 0.0000 0.0000 0.0000  4 Hg 3.03
Hg6 0.5000 0.5000 0.5000  4 Hg 3.16
Hg7 0.0000 0.5000 0.6367  5 Hg 3.04-3.16
Sn1 0.5000 0.5000 0.0000  4 Hg 3.03
Cs2 0.0000 0.5000 0.2512  15 Hg 4.03-4.47, 2 Sn 4.08

***

## HoMgPa2Rh4 (PBE)

Data for a relaxed structure of HoMgPa2Rh4.

## Properties
The crystal system is trigonal. For the total moment, the calculation gives 0.00 μB/f.u. Its space-group type is No. 166. As for the formation energy: -545 kJ/mol of formula units.

Lattice parameters (Å, degrees): 4.6361 4.6361 8.8733 74.86 74.86 60.00
Last column: nearest neighbours and their distance in Å.
Sites, in units of the cell vectors:
Rh1 0.1247 0.1247 0.6258  4 Pa 2.84-3.07, 3 Mg 2.88, 3 Rh 3.15, 1 Ho 3.17
Ho1 0.0000 0.0000 0.0000  8 Rh 3.07-3.17
Mg1 0.5000 0.5000 0.5000  8 Rh 2.73-2.88
Pa1 0.7544 0.7544 0.7370  7 Rh 2.77-3.07
Rh2 0.3926 0.3926 0.8222  1 Mg 2.73, 3 Pa 2.77
Rh3 0.6074 0.6074 0.1778  1 Mg 2.73, 3 Pa 2.77
Pa2 0.2456 0.2456 0.2630  7 Rh 2.77-3.07
Rh4 0.8753 0.8753 0.3742  4 Pa 2.84-3.07, 3 Mg 2.88, 3 Rh 3.15, 1 Ho 3.17

***

## Cr2HgIr (PBE)

Data for a relaxed structure of Cr2HgIr.

## Properties
The crystal system is orthorhombic. For the total moment, the calculation gives 0.00 μB/f.u. Its space-group type is No. 47. As for the formation energy: 125 kJ/mol of formula units.

Lattice parameters (Å, degrees): 3.9246 2.7632 6.2059 63.61 90.00 90.00
Last column: nearest neighbours and their distance in Å.
Sites, in units of the cell vectors:
Cr1 0.0000 0.0552 0.9437  1 Cr 2.15
Cr2 0.0000 0.4448 0.5563  1 Cr 2.15
Hg1 0.5000 0.2500 0.2500  2 Hg 2.76, 2 Ir 2.78, 8 Cr 2.94
Ir1 0.5000 0.7500 0.7500  8 Cr 2.63, 2 Ir 2.76, 2 Hg 2.78

***

## ZrAgRu2 (PBE)

Data for a relaxed structure of ZrAgRu2.

## Properties
The crystal system is orthorhombic. The energy above the most stable polymorph in this dataset is 187 meV per atom. For the total moment, the calculation gives 0.00 μB/f.u. Its space-group type is No. 71. As for the formation energy: 67 kJ/mol of formula units.

Lattice parameters (Å, degrees): 5.3317 5.3317 5.3317 145.06 127.92 64.26
Last column: nearest neighbours and their distance in Å.
Sites, in units of the cell vectors:
Ag1 0.2500 0.7500 0.5000  4 Zr 2.84, 8 Ru 2.88-3.16
Ru1 0.5149 0.5149 0.0000  2 Zr 2.66, 4 Ru 2.85, 2 Ag 2.88
Zr1 0.7500 0.2500 0.5000  4 Ru 2.66, 4 Ag 2.84
Ru2 0.9851 0.9851 0.0000  2 Zr 2.66, 4 Ru 2.85, 2 Ag 2.88

***

## Pr3Ti5H12 (PBE)

Data for a relaxed structure of Pr3Ti5H12.

## Properties
The crystal system is cubic. For the total moment, the calculation gives 1.43 μB/f.u. Its space-group type is No. 230. As for the total DFT energy (no corrections): -100.4 eV per formula unit.

Lattice parameters (Å, degrees): 10.5305 10.5305 10.5305 109.47 109.47 109.47
Last column: nearest neighbours and their distance in Å.
Sites, in units of the cell vectors:
H1 0.5825 0.8813 0.4132  2 Ti 1.90-1.91
H2 0.7988 0.4681 0.3813  2 Ti 1.90-1.91
Pr1 0.3750 0.6250 0.2500  8 H 2.34-2.38
Ti1 0.6250 0.7500 0.8750  4 H 1.90
H3 0.3307 0.5319 0.4132  2 Ti 1.90-1.91
Ti2 0.7500 0.6250 0.3750  4 H 1.90
H4 0.3813 0.9681 0.7988  2 Ti 1.90-1.91
H5 0.5825 0.7012 0.6693  2 Ti 1.90-1.91
H6 0.1187 0.4175 0.0868  2 Ti 1.90-1.91
H7 0.4175 0.1187 0.5868  2 Ti 1.90-1.91
H8 0.6693 0.4681 0.5868  2 Ti 1.90-1.91
H9 0.2988 0.8813 0.9681  2 Ti 1.90-1.91
Ti3 0.5000 0.5000 0.5000  6 H 1.91
H10 0.6187 0.0319 0.2012  2 Ti 1.90-1.91
H11 0.5868 0.9681 0.6693  2 Ti 1.90-1.91
Pr2 0.7500 0.3750 0.1250  8 H 2.34-2.38
Ti4 0.5000 0.5000 0.0000  6 H 1.91
Pr3 0.3750 0.7500 0.6250  8 H 2.34-2.38
H12 0.8307 0.9175 0.2988  2 Ti 1.90-1.91
H13 0.9175 0.8307 0.7988  2 Ti 1.90-1.91
Ti5 0.2500 0.3750 0.6250  4 H 1.90
H14 0.3307 0.7988 0.4175  2 Ti 1.90-1.91
Pr4 0.2500 0.6250 0.8750  8 H 2.34-2.38
H15 0.2012 0.6693 0.0825  2 Ti 1.90-1.91
H16 0.8813 0.2988 0.4681  2 Ti 1.90-1.91
H17 0.1693 0.0868 0.9681  2 Ti 1.90-1.91
H18 0.6693 0.2012 0.5825  2 Ti 1.90-1.91
Ti6 0.1250 0.3750 0.2500  4 H 1.90
Ti7 0.0000 0.5000 0.0000  6 H 1.91
Ti8 0.7500 0.1250 0.8750  4 H 1.90
H19 0.9132 0.0825 0.8813  2 Ti 1.90-1.91
H20 0.9132 0.8307 0.5319  2 Ti 1.90-1.91
H21 0.8307 0.9132 0.0319  2 Ti 1.90-1.91
H22 0.4681 0.6693 0.0868  2 Ti 1.90-1.91
Pr5 0.8750 0.7500 0.1250  8 H 2.34-2.38
H23 0.1187 0.7012 0.5319  2 Ti 1.90-1.91
Ti9 0.1250 0.7500 0.3750  4 H 1.90
Pr6 0.1250 0.8750 0.7500  8 H 2.34-2.38
H24 0.6187 0.5868 0.9175  2 Ti 1.90-1.91
H25 0.0868 0.1693 0.4681  2 Ti 1.90-1.91
Ti10 0.3750 0.1250 0.7500  4 H 1.90
H26 0.0868 0.9175 0.1187  2 Ti 1.90-1.91
Ti11 0.0000 0.0000 0.0000  6 H 1.91
Ti12 0.3750 0.2500 0.1250  4 H 1.90
H27 0.3813 0.4132 0.0825  2 Ti 1.90-1.91
H28 0.4681 0.7988 0.8813  2 Ti 1.90-1.91
H29 0.4132 0.3813 0.5825  2 Ti 1.90-1.91
H30 0.5319 0.3307 0.9132  2 Ti 1.90-1.91
H31 0.9681 0.5868 0.1693  2 Ti 1.90-1.91
H32 0.8813 0.5825 0.9132  2 Ti 1.90-1.91
Pr7 0.6250 0.2500 0.3750  8 H 2.34-2.38
Ti13 0.5000 0.0000 0.5000  6 H 1.91
Ti14 0.6250 0.8750 0.2500  4 H 1.90
H33 0.0319 0.6187 0.7012  2 Ti 1.90-1.91
H34 0.7012 0.5825 0.1693  2 Ti 1.90-1.91
H35 0.2012 0.5319 0.6187  2 Ti 1.90-1.91
Pr8 0.6250 0.3750 0.7500  8 H 2.34-2.38
Pr9 0.7500 0.8750 0.6250  8 H 2.34-2.38
H36 0.5319 0.2012 0.1187  2 Ti 1.90-1.91
H37 0.7012 0.1187 0.0319  2 Ti 1.90-1.91
Ti15 0.2500 0.8750 0.1250  4 H 1.90
H38 0.7988 0.3307 0.9175  2 Ti 1.90-1.91
H39 0.4175 0.2988 0.3307  2 Ti 1.90-1.91
H40 0.0825 0.9132 0.3813  2 Ti 1.90-1.91
H41 0.0319 0.4132 0.8307  2 Ti 1.90-1.91
Ti16 0.0000 0.0000 0.5000  6 H 1.91
Ti17 0.5000 0.0000 0.0000  6 H 1.91
Ti18 0.8750 0.2500 0.6250  4 H 1.90
Pr10 0.1250 0.2500 0.8750  8 H 2.34-2.38
Ti19 0.8750 0.6250 0.7500  4 H 1.90
H42 0.9175 0.0868 0.6187  2 Ti 1.90-1.91
H43 0.4132 0.0319 0.3307  2 Ti 1.90-1.91
Pr11 0.8750 0.1250 0.2500  8 H 2.34-2.38
H44 0.5868 0.6187 0.4175  2 Ti 1.90-1.91
H45 0.2988 0.4175 0.8307  2 Ti 1.90-1.91
Pr12 0.2500 0.1250 0.3750  8 H 2.34-2.38
H46 0.0825 0.1693 0.2012  2 Ti 1.90-1.91
H47 0.9681 0.3813 0.2988  2 Ti 1.90-1.91
H48 0.1693 0.0825 0.7012  2 Ti 1.90-1.91
Ti20 0.0000 0.5000 0.5000  6 H 1.91

***

## Al2Rh (PBE)

Data for a relaxed structure of Al2Rh.

## Properties
The crystal system is trigonal. For the total moment, the calculation gives 0.00 μB/f.u. Its space-group type is No. 164. As for the formation energy: -166 kJ/mol of formula units.

Lattice parameters (Å, degrees): 4.2120 4.2120 2.8496 90.00 90.00 120.00
Last column: nearest neighbours and their distance in Å.
Sites, in units of the cell vectors:
Al1 0.3333 0.6667 0.7202  3 Rh 2.56, 5 Al 2.74-2.85
Al2 0.6667 0.3333 0.2798  3 Rh 2.56, 5 Al 2.74-2.85
Rh1 0.0000 0.0000 0.0000  6 Al 2.56, 2 Rh 2.85